19
Lattice="-3.504 3.994 -4.630 -6.398 -0.489 2.915 0.102 6.041 3.628" Properties=species:S:1:pos:R:3 comment="Pm2Hg2Pd15 | Alexandria via LeMat-Bulk | GGA-PBE | relaxed" delta_e_f_mev_per_atom=-336.3 dft_energy_ev_per_atom=-4.97 pbc="T T T"
Pm -3.414 3.325 0.666
Pm -6.386 6.221 1.246
Hg -0.999 0.973 0.195
Hg -8.800 8.573 1.718
Pd -1.752 1.997 -2.315
Pd 0.051 3.020 1.814
Pd -3.199 -0.244 1.457
Pd -4.371 1.547 3.137
Pd -4.406 2.596 -2.278
Pd -1.022 5.403 1.053
Pd -5.496 0.909 0.562
Pd -2.379 4.632 -2.055
Pd -1.924 4.005 3.406
Pd -4.675 4.270 3.517
Pd -6.443 3.267 -0.530
Pd -3.257 6.467 -0.181
Pd -5.124 5.276 -1.604
Pd -3.357 6.279 2.443
Pd -6.542 3.079 2.093